VASP calculation (GGA+U) on an optimized crystal structure of LiMnPO4.

Cell and atoms, written as POSCAR:
```
LiMnPO4
1.0
8.0157 0.0000 0.0000
0.0000 5.5151 0.0000
-2.2096 0.0000 8.2139
Li Mn P O
4 4 4 16
Direct
0.0000 0.1549 0.0000 Li
0.0000 0.8451 0.5000 Li
0.5323 0.3432 0.7208 Li
0.5323 0.6568 0.2208 Li
0.1308 0.3395 0.3860 Mn
0.1308 0.6605 0.8860 Mn
0.6337 0.1602 0.0969 Mn
0.6337 0.8398 0.5969 Mn
0.2543 0.1595 0.7700 P
0.2543 0.8405 0.2700 P
0.7572 0.3364 0.4664 P
0.7572 0.6636 0.9664 P
0.1265 0.2939 0.8499 O
0.1265 0.7061 0.3499 O
0.1799 0.0974 0.2194 O
0.1799 0.9026 0.7194 O
0.2811 0.2987 0.6196 O
0.2811 0.7013 0.1196 O
0.4383 0.1545 0.8871 O
0.4383 0.8455 0.3871 O
0.6136 0.3438 0.3025 O
0.6136 0.6562 0.8025 O
0.6873 0.2090 0.5998 O
0.6873 0.7910 0.0998 O
0.8112 0.3973 0.0203 O
0.8112 0.6027 0.5203 O
0.9109 0.1869 0.4375 O
0.9109 0.8131 0.9375 O
```

**DOS(E_F)**: 0.00 states/eV/f.u.
**VASP energy**: -7.140 eV/atom